## a
! Hg2W | the Alexandria database | PBE | relaxed; values from VASP
! - total moment (Bohr magnetons per cell) = 0.00
! - SG = I4_1/amd (141)
! - mass density (g/cm3) = 16.40
&SYSTEM
  ibrav = 0, nat = 6, ntyp = 2
/
ATOMIC_SPECIES
Hg 200.59 Hg.upf
W 183.84 W.upf
ATOMIC_POSITIONS angstrom
Hg 1.441 0.721 1.335
Hg 1.441 0.721 5.795
Hg 0.000 0.721 8.465
Hg 0.000 0.721 12.925
W 1.441 -0.721 10.695
W 0.000 2.162 3.565
CELL_PARAMETERS angstrom
-1.441 1.441 14.260
1.441 -1.441 14.260
1.441 1.441 -14.260


## b
! Hg2W | the Alexandria database | PBE | relaxed; values from VASP
! - total moment (Bohr magnetons per cell) = 0.00
! - SG = P-6m2 (187)
! - mass density (g/cm3) = 16.50
&SYSTEM
  ibrav = 0, nat = 6, ntyp = 2
/
ATOMIC_SPECIES
Hg 200.59 Hg.upf
W 183.84 W.upf
ATOMIC_POSITIONS angstrom
Hg 0.000 0.000 0.000
Hg 0.000 0.000 4.797
Hg 0.000 0.000 10.273
Hg 1.502 0.867 7.535
W 1.502 0.867 2.398
W 1.502 0.867 12.672
CELL_PARAMETERS angstrom
3.004 0.000 0.000
-1.502 2.601 0.000
0.000 0.000 15.070


Which is the most stable structure? b is the most stable.


## a
! Hg2W | the Alexandria database | PBE | relaxed; values from VASP
! - total moment (Bohr magnetons per cell) = 0.00
! - SG = C2/m (12)
! - mass density (g/cm3) = 15.44
&SYSTEM
  ibrav = 0, nat = 6, ntyp = 2
/
ATOMIC_SPECIES
Hg 200.59 Hg.upf
W 183.84 W.upf
ATOMIC_POSITIONS angstrom
Hg -0.517 0.000 1.659
Hg 2.558 0.000 2.952
Hg 5.634 0.000 4.399
Hg 8.709 0.000 5.692
W 0.109 0.000 6.898
W 8.084 0.000 0.453
CELL_PARAMETERS angstrom
6.082 -1.408 0.000
6.082 1.408 0.000
-3.970 0.000 7.351


## b
! Hg2W | the Alexandria database | PBE | relaxed; values from VASP
! - total moment (Bohr magnetons per cell) = 0.00
! - SG = C2/m (12)
! - mass density (g/cm3) = 16.30
&SYSTEM
  ibrav = 0, nat = 6, ntyp = 2
/
ATOMIC_SPECIES
Hg 200.59 Hg.upf
W 183.84 W.upf
ATOMIC_POSITIONS angstrom
Hg 1.455 0.000 0.190
Hg 1.175 0.000 4.338
Hg 9.053 0.000 2.362
Hg 8.773 0.000 6.510
W 4.532 0.000 4.455
W 5.696 0.000 2.245
CELL_PARAMETERS angstrom
6.047 -1.471 0.000
6.047 1.471 0.000
-1.865 0.000 6.700


## c
! Hg2W | the Alexandria database | PBE | relaxed; values from VASP
! - total moment (Bohr magnetons per cell) = 0.00
! - SG = Pnma (62)
! - mass density (g/cm3) = 15.06
&SYSTEM
  ibrav = 0, nat = 12, ntyp = 2
/
ATOMIC_SPECIES
Hg 200.59 Hg.upf
W 183.84 W.upf
ATOMIC_POSITIONS angstrom
Hg 0.107 0.781 3.214
Hg 0.551 0.781 8.163
Hg 2.410 2.342 1.188
Hg 2.854 2.342 10.189
Hg 3.068 0.781 3.761
Hg 3.512 0.781 12.762
Hg 5.371 2.342 5.787
Hg 5.816 2.342 10.736
W 0.546 0.781 13.158
W 2.416 2.342 6.183
W 3.507 0.781 7.768
W 5.377 2.342 0.793
CELL_PARAMETERS angstrom
5.922 0.000 0.000
0.000 3.123 0.000
0.000 0.000 13.950


Which is the most stable structure? c is the most stable.


## a
! Hg2W | the Alexandria database | PBE | relaxed; values from VASP
! - total moment (Bohr magnetons per cell) = 0.00
! - SG = Amm2 (38)
! - mass density (g/cm3) = 13.79
&SYSTEM
  ibrav = 0, nat = 6, ntyp = 2
/
ATOMIC_SPECIES
Hg 200.59 Hg.upf
W 183.84 W.upf
ATOMIC_POSITIONS angstrom
Hg 0.000 0.000 0.000
Hg 0.000 0.000 5.864
Hg 0.000 0.000 12.512
Hg 2.472 0.000 16.751
W 2.472 0.000 2.455
W 2.472 0.000 9.999
CELL_PARAMETERS angstrom
4.944 0.000 0.000
0.000 1.502 9.485
0.000 -1.502 9.485


## b
! Hg2W | the Alexandria database | PBE | relaxed; values from VASP
! - total moment (Bohr magnetons per cell) = 0.00
! - SG = Cmcm (63)
! - mass density (g/cm3) = 16.03
&SYSTEM
  ibrav = 0, nat = 6, ntyp = 2
/
ATOMIC_SPECIES
Hg 200.59 Hg.upf
W 183.84 W.upf
ATOMIC_POSITIONS angstrom
Hg 4.661 1.156 3.037
Hg 8.981 1.156 3.037
Hg 4.661 -1.156 1.012
Hg 8.981 -1.156 1.012
W 6.821 0.814 1.012
W 6.821 -0.814 3.037
CELL_PARAMETERS angstrom
6.821 -2.194 0.000
6.821 2.194 0.000
0.000 0.000 4.049


## c
! Hg2W | the Alexandria database | PBE | relaxed; values from VASP
! - total moment (Bohr magnetons per cell) = 0.00
! - SG = Cm (8)
! - mass density (g/cm3) = 16.05
&SYSTEM
  ibrav = 0, nat = 6, ntyp = 2
/
ATOMIC_SPECIES
Hg 200.59 Hg.upf
W 183.84 W.upf
ATOMIC_POSITIONS angstrom
Hg 0.000 0.000 0.000
Hg -1.070 0.000 4.449
Hg 1.864 0.000 5.174
Hg 6.618 0.000 2.509
W 3.610 0.000 1.928
W 6.205 0.000 7.368
CELL_PARAMETERS angstrom
5.562 -1.445 0.000
5.562 1.445 0.000
-1.929 0.000 7.531


## d
! Hg2W | the Alexandria database | PBE | relaxed; values from VASP
! - total moment (Bohr magnetons per cell) = 3.42
! - SG = P6_3/mmc (194)
! - mass density (g/cm3) = 16.17
&SYSTEM
  ibrav = 0, nat = 6, ntyp = 2
/
ATOMIC_SPECIES
Hg 200.59 Hg.upf
W 183.84 W.upf
ATOMIC_POSITIONS angstrom
Hg 0.000 0.000 0.000
Hg 0.000 0.000 2.926
Hg 0.000 2.811 1.463
Hg 2.435 1.406 4.389
W 0.000 2.811 4.389
W 2.435 1.406 1.463
CELL_PARAMETERS angstrom
4.869 0.000 0.000
-2.435 4.217 0.000
0.000 0.000 5.852


Which is the most stable structure? a is the most stable.


## a
! Hg2W | the Alexandria database | PBE | relaxed; values from VASP
! - total moment (Bohr magnetons per cell) = 0.00
! - SG = Cmcm (63)
! - mass density (g/cm3) = 16.02
&SYSTEM
  ibrav = 0, nat = 6, ntyp = 2
/
ATOMIC_SPECIES
Hg 200.59 Hg.upf
W 183.84 W.upf
ATOMIC_POSITIONS angstrom
Hg 1.457 6.992 3.544
Hg 1.457 5.226 1.181
Hg 1.457 -5.226 3.544
Hg 1.457 -6.992 1.181
W 1.457 0.724 3.544
W 1.457 -0.724 1.181
CELL_PARAMETERS angstrom
1.457 -8.806 0.000
1.457 8.806 0.000
0.000 0.000 4.726


## b
! Hg2W | the Alexandria database | PBE | relaxed; values from VASP
! - total moment (Bohr magnetons per cell) = 0.00
! - SG = Cmcm (63)
! - mass density (g/cm3) = 16.55
&SYSTEM
  ibrav = 0, nat = 6, ntyp = 2
/
ATOMIC_SPECIES
Hg 200.59 Hg.upf
W 183.84 W.upf
ATOMIC_POSITIONS angstrom
Hg 1.440 6.993 3.846
Hg 1.440 1.847 3.846
Hg 1.440 -1.847 1.282
Hg 1.440 -6.993 1.282
W 1.440 3.572 1.282
W 1.440 -3.572 3.846
CELL_PARAMETERS angstrom
1.440 -7.947 0.000
1.440 7.947 0.000
0.000 0.000 5.128


## c
! Hg2W | the Alexandria database | PBE | relaxed; values from VASP
! - total moment (Bohr magnetons per cell) = 0.00
! - SG = Fd-3m (227)
! - mass density (g/cm3) = 16.46
&SYSTEM
  ibrav = 0, nat = 6, ntyp = 2
/
ATOMIC_SPECIES
Hg 200.59 Hg.upf
W 183.84 W.upf
ATOMIC_POSITIONS angstrom
Hg 0.000 0.000 0.000
Hg 1.947 1.947 0.000
Hg 1.947 0.000 1.947
Hg 0.000 1.947 1.947
W 2.920 2.920 2.920
W 4.867 4.867 4.867
CELL_PARAMETERS angstrom
0.000 3.894 3.894
3.894 0.000 3.894
3.894 3.894 0.000


## d
! Hg2W | the Alexandria database | PBE | relaxed; values from VASP
! - total moment (Bohr magnetons per cell) = 0.00
! - SG = P-62m (189)
! - mass density (g/cm3) = 16.66
&SYSTEM
  ibrav = 0, nat = 6, ntyp = 2
/
ATOMIC_SPECIES
Hg 200.59 Hg.upf
W 183.84 W.upf
ATOMIC_POSITIONS angstrom
Hg 0.000 0.000 0.000
Hg -1.648 2.855 2.462
Hg 0.966 1.673 2.462
Hg 3.297 0.000 2.462
W 0.000 3.019 0.000
W 2.614 1.509 0.000
CELL_PARAMETERS angstrom
5.228 0.000 0.000
-2.614 4.528 0.000
0.000 0.000 4.925


Which is the most stable structure? a is the most stable.


## a
! Hg2W | the Alexandria database | PBE | relaxed; values from VASP
! - total moment (Bohr magnetons per cell) = 0.00
! - SG = I4/mmm (139)
! - mass density (g/cm3) = 16.52
&SYSTEM
  ibrav = 0, nat = 3, ntyp = 2
/
ATOMIC_SPECIES
Hg 200.59 Hg.upf
W 183.84 W.upf
ATOMIC_POSITIONS angstrom
Hg 0.000 0.000 2.209
Hg 0.000 0.000 11.839
W 0.000 0.000 7.024
CELL_PARAMETERS angstrom
-1.447 1.447 7.024
1.447 -1.447 7.024
1.447 1.447 -7.024


## b
! Hg2W | the Alexandria database | PBE | relaxed; values from VASP
! - total moment (Bohr magnetons per cell) = 0.00
! - SG = I4/mcm (140)
! - mass density (g/cm3) = 14.56
&SYSTEM
  ibrav = 0, nat = 6, ntyp = 2
/
ATOMIC_SPECIES
Hg 200.59 Hg.upf
W 183.84 W.upf
ATOMIC_POSITIONS angstrom
Hg 4.888 1.314 0.000
Hg 1.314 2.261 0.000
Hg 2.261 1.314 2.611
Hg -1.314 2.261 2.611
W 0.000 0.000 1.306
W 0.000 0.000 3.917
CELL_PARAMETERS angstrom
-3.575 3.575 2.611
3.575 -3.575 2.611
3.575 3.575 -2.611


## c
! Hg2W | the Alexandria database | PBE | relaxed; values from VASP
! - total moment (Bohr magnetons per cell) = 0.00
! - SG = P-3m1 (164)
! - mass density (g/cm3) = 16.64
&SYSTEM
  ibrav = 0, nat = 3, ntyp = 2
/
ATOMIC_SPECIES
Hg 200.59 Hg.upf
W 183.84 W.upf
ATOMIC_POSITIONS angstrom
Hg 0.000 1.734 1.343
Hg 1.502 0.867 6.131
W 0.000 0.000 3.737
CELL_PARAMETERS angstrom
3.003 0.000 0.000
-1.502 2.601 0.000
0.000 0.000 7.474


Which is the most stable structure? b is the most stable.


## a
! Hg2W | the Alexandria database | PBE | relaxed; values from VASP
! - total moment (Bohr magnetons per cell) = 1.67
! - SG = Fm-3m (225)
! - mass density (g/cm3) = 13.83
&SYSTEM
  ibrav = 0, nat = 3, ntyp = 2
/
ATOMIC_SPECIES
Hg 200.59 Hg.upf
W 183.84 W.upf
ATOMIC_POSITIONS angstrom
Hg 1.637 1.637 1.637
Hg 4.912 4.912 4.912
W 0.000 0.000 0.000
CELL_PARAMETERS angstrom
0.000 3.275 3.275
3.275 0.000 3.275
3.275 3.275 0.000


## b
! Hg2W | the Alexandria database | PBE | relaxed; values from VASP
! - total moment (Bohr magnetons per cell) = 0.00
! - SG = P4/mmm (123)
! - mass density (g/cm3) = 13.57
&SYSTEM
  ibrav = 0, nat = 3, ntyp = 2
/
ATOMIC_SPECIES
Hg 200.59 Hg.upf
W 183.84 W.upf
ATOMIC_POSITIONS angstrom
Hg 0.000 2.540 0.000
Hg 2.540 0.000 0.000
W 0.000 0.000 1.388
CELL_PARAMETERS angstrom
5.080 0.000 0.000
0.000 5.080 0.000
0.000 0.000 2.776


Which is the most stable structure? b is the most stable.


## a
! Hg3W2 | the Alexandria database | PBE | relaxed; values from VASP
! - total moment (Bohr magnetons per cell) = 0.00
! - SG = P-3m1 (164)
! - mass density (g/cm3) = 14.82
&SYSTEM
  ibrav = 0, nat = 5, ntyp = 2
/
ATOMIC_SPECIES
Hg 200.59 Hg.upf
W 183.84 W.upf
ATOMIC_POSITIONS angstrom
Hg 0.000 0.000 0.000
Hg 0.000 2.706 2.294
Hg 2.343 1.353 3.419
W 0.000 2.706 5.224
W 2.343 1.353 0.489
CELL_PARAMETERS angstrom
4.686 0.000 0.000
-2.343 4.058 0.000
0.000 0.000 5.713


## b
! Hg3W2 | the Alexandria database | PBE | relaxed; values from VASP
! - total moment (Bohr magnetons per cell) = 0.00
! - SG = Fdd2 (43)
! - mass density (g/cm3) = 16.46
&SYSTEM
  ibrav = 0, nat = 10, ntyp = 2
/
ATOMIC_SPECIES
Hg 200.59 Hg.upf
W 183.84 W.upf
ATOMIC_POSITIONS angstrom
Hg 0.000 0.000 0.000
Hg 2.691 3.735 1.216
Hg 4.808 5.935 2.436
Hg 5.957 9.004 2.436
Hg 8.648 9.669 3.652
Hg 7.499 12.739 3.652
W 2.881 0.590 1.124
W 5.572 3.145 2.340
W 2.501 6.880 1.124
W 5.192 11.794 2.340
CELL_PARAMETERS angstrom
0.000 7.469 2.433
5.382 0.000 2.433
5.382 7.469 0.000


Which is the most stable structure? a is the most stable.


## a
! Hg4W3 | the Alexandria database | PBE | relaxed; values from VASP
! - total moment (Bohr magnetons per cell) = 0.00
! - SG = P6/mmm (191)
! - mass density (g/cm3) = 16.24
&SYSTEM
  ibrav = 0, nat = 7, ntyp = 2
/
ATOMIC_SPECIES
Hg 200.59 Hg.upf
W 183.84 W.upf
ATOMIC_POSITIONS angstrom
Hg 0.000 0.000 1.344
Hg 0.000 0.000 4.067
Hg 0.000 3.138 2.706
Hg 2.718 1.569 2.706
W -1.359 2.354 0.000
W 2.718 0.000 0.000
W 1.359 2.354 0.000
CELL_PARAMETERS angstrom
5.436 0.000 0.000
-2.718 4.708 0.000
0.000 0.000 5.411


## b
! Hg4W3 | the Alexandria database | PBE | relaxed; values from VASP
! - total moment (Bohr magnetons per cell) = 0.00
! - SG = I4/mmm (139)
! - mass density (g/cm3) = 16.53
&SYSTEM
  ibrav = 0, nat = 7, ntyp = 2
/
ATOMIC_SPECIES
Hg 200.59 Hg.upf
W 183.84 W.upf
ATOMIC_POSITIONS angstrom
Hg 0.000 0.000 2.130
Hg 0.000 0.000 10.721
Hg 0.000 0.000 19.941
Hg 0.000 0.000 28.531
W 0.000 0.000 6.846
W 0.000 0.000 15.331
W 0.000 0.000 23.815
CELL_PARAMETERS angstrom
-1.489 1.489 15.331
1.489 -1.489 15.331
1.489 1.489 -15.331


Which is the most stable structure? b is the most stable.


## a
! YHg2W | the Alexandria database | PBE | relaxed; values from VASP
! - total moment (Bohr magnetons per cell) = 0.00
! - SG = Pm (6)
! - mass density (g/cm3) = 12.52
&SYSTEM
  ibrav = 0, nat = 4, ntyp = 3
/
ATOMIC_SPECIES
Y 88.91 Y.upf
Hg 200.59 Hg.upf
W 183.84 W.upf
ATOMIC_POSITIONS angstrom
Y 0.000 0.000 0.000
Hg 1.469 2.431 4.358
Hg 1.512 0.000 2.804
W 1.579 2.431 1.369
CELL_PARAMETERS angstrom
3.126 0.000 0.000
0.000 4.863 0.000
-0.080 0.000 5.882


## b
! YHg2W | the Alexandria database | PBE | relaxed; values from VASP
! - total moment (Bohr magnetons per cell) = 0.00
! - SG = C2/m (12)
! - mass density (g/cm3) = 12.88
&SYSTEM
  ibrav = 0, nat = 4, ntyp = 3
/
ATOMIC_SPECIES
Y 88.91 Y.upf
Hg 200.59 Hg.upf
W 183.84 W.upf
ATOMIC_POSITIONS angstrom
Y 0.000 0.000 0.000
Hg 1.726 0.000 3.973
Hg 7.500 0.000 1.481
W 4.613 0.000 2.727
CELL_PARAMETERS angstrom
5.123 -1.554 0.000
5.123 1.554 0.000
-1.021 0.000 5.455


## c
! YHg2W | the Alexandria database | PBE | relaxed; values from VASP
! - total moment (Bohr magnetons per cell) = 0.00
! - SG = C2/m (12)
! - mass density (g/cm3) = 13.44
&SYSTEM
  ibrav = 0, nat = 4, ntyp = 3
/
ATOMIC_SPECIES
Y 88.91 Y.upf
Hg 200.59 Hg.upf
W 183.84 W.upf
ATOMIC_POSITIONS angstrom
Y 0.000 0.000 0.000
Hg 1.542 2.158 1.559
Hg 1.542 -2.158 1.559
W 3.095 0.000 0.000
CELL_PARAMETERS angstrom
3.095 -4.316 0.000
3.095 4.316 0.000
-0.011 0.000 3.117


## d
! YHg2W | the Alexandria database | PBE | relaxed; values from VASP
! - total moment (Bohr magnetons per cell) = 1.99
! - SG = I-42d (122)
! - mass density (g/cm3) = 11.64
&SYSTEM
  ibrav = 0, nat = 8, ntyp = 3
/
ATOMIC_SPECIES
Y 88.91 Y.upf
Hg 200.59 Hg.upf
W 183.84 W.upf
ATOMIC_POSITIONS angstrom
Y 0.000 0.000 0.000
Y 0.000 2.156 5.171
Hg 1.078 -0.939 7.757
Hg 1.217 1.078 2.586
Hg 1.078 3.095 -2.586
Hg 0.939 1.078 12.928
W 2.156 0.000 5.171
W 0.000 0.000 10.342
CELL_PARAMETERS angstrom
-2.156 2.156 10.342
2.156 -2.156 10.342
2.156 2.156 -10.342


Which is the most stable structure? c is the most stable.